No. 1
# TlGaFe3 PBE relaxed
data_TlGaFe3
_chemical_formula_sum 'Tl1 Ga1 Fe3'
_space_group_name_H-M_alt 'P 1'
_space_group_IT_number 1
_cell_length_a 4.5202
_cell_length_b 4.5202
_cell_length_c 4.5202
_cell_angle_alpha 90.00
_cell_angle_beta 90.00
_cell_angle_gamma 90.00
loop_
_space_group_symop_operation_xyz
'x,y,z'
loop_
_atom_site_label
_atom_site_fract_x
_atom_site_fract_y
_atom_site_fract_z
Tl1 0.5000 0.5000 0.5000
Fe1 0.0000 0.5000 0.0000
Fe2 0.0000 0.0000 0.5000
Fe3 0.5000 0.0000 0.0000
Ga1 0.0000 0.0000 0.0000
# - DFT formation energy (kJ/mol of formula units) = 433
# - symmetry = Pm-3m (221)



No. 2
# TlGa2Fe PBE relaxed
data_TlGa2Fe
_chemical_formula_sum 'Tl2 Ga4 Fe2'
_space_group_name_H-M_alt 'P 1'
_space_group_IT_number 1
_cell_length_a 4.2660
_cell_length_b 4.2660
_cell_length_c 9.3721
_cell_angle_alpha 76.84
_cell_angle_beta 76.84
_cell_angle_gamma 90.00
loop_
_space_group_symop_operation_xyz
'x,y,z'
loop_
_atom_site_label
_atom_site_fract_x
_atom_site_fract_y
_atom_site_fract_z
Tl1 0.0000 0.0000 0.0000
Tl2 0.7500 0.2500 0.5000
Fe1 0.5000 0.5000 0.0000
Fe2 0.2500 0.7500 0.5000
Ga1 0.5403 0.1250 0.2500
Ga2 0.2097 0.6250 0.2500
Ga3 0.3750 0.4597 0.7500
Ga4 0.8750 0.7903 0.7500
# - DFT formation energy (kJ/mol of formula units) = 136
# - symmetry = I-42d (122)



No. 3
# TlGa2Fe PBE relaxed
data_TlGa2Fe
_chemical_formula_sum 'Tl1 Ga2 Fe1'
_space_group_name_H-M_alt 'P 1'
_space_group_IT_number 1
_cell_length_a 4.7955
_cell_length_b 4.7955
_cell_length_c 4.7955
_cell_angle_alpha 60.00
_cell_angle_beta 60.00
_cell_angle_gamma 60.00
loop_
_space_group_symop_operation_xyz
'x,y,z'
loop_
_atom_site_label
_atom_site_fract_x
_atom_site_fract_y
_atom_site_fract_z
Tl1 0.5000 0.5000 0.5000
Fe1 0.0000 0.0000 0.0000
Ga1 0.2500 0.2500 0.2500
Ga2 0.7500 0.7500 0.7500
# - DFT formation energy (kJ/mol of formula units) = 196
# - symmetry = Fm-3m (225)



No. 4
# TlGaFe2 PBE relaxed
data_TlGaFe2
_chemical_formula_sum 'Tl1 Ga1 Fe2'
_space_group_name_H-M_alt 'P 1'
_space_group_IT_number 1
_cell_length_a 4.4217
_cell_length_b 4.4217
_cell_length_c 4.4217
_cell_angle_alpha 60.00
_cell_angle_beta 60.00
_cell_angle_gamma 60.00
loop_
_space_group_symop_operation_xyz
'x,y,z'
loop_
_atom_site_label
_atom_site_fract_x
_atom_site_fract_y
_atom_site_fract_z
Tl1 0.5000 0.5000 0.5000
Fe1 0.2500 0.2500 0.2500
Fe2 0.7500 0.7500 0.7500
Ga1 0.0000 0.0000 0.0000
# - DFT formation energy (kJ/mol of formula units) = 174
# - symmetry = Fm-3m (225)



No. 5
# TlGaFe3 PBE relaxed
data_TlGaFe3
_chemical_formula_sum 'Tl1 Ga1 Fe3'
_space_group_name_H-M_alt 'P 1'
_space_group_IT_number 1
_cell_length_a 4.8850
_cell_length_b 4.8850
_cell_length_c 4.8850
_cell_angle_alpha 90.00
_cell_angle_beta 90.00
_cell_angle_gamma 90.00
loop_
_space_group_symop_operation_xyz
'x,y,z'
loop_
_atom_site_label
_atom_site_fract_x
_atom_site_fract_y
_atom_site_fract_z
Tl1 0.0000 0.0000 0.0000
Fe1 0.0000 0.5000 0.0000
Fe2 0.0000 0.0000 0.5000
Fe3 0.5000 0.0000 0.0000
Ga1 0.5000 0.5000 0.5000
# - DFT formation energy (kJ/mol of formula units) = 770
# - symmetry = Pm-3m (221)



No. 6
# Tl2GaFe PBE relaxed
data_Tl2GaFe
_chemical_formula_sum 'Tl4 Ga2 Fe2'
_space_group_name_H-M_alt 'P 1'
_space_group_IT_number 1
_cell_length_a 9.9134
_cell_length_b 9.9134
_cell_length_c 7.3789
_cell_angle_alpha 47.80
_cell_angle_beta 47.80
_cell_angle_gamma 90.00
loop_
_space_group_symop_operation_xyz
'x,y,z'
loop_
_atom_site_label
_atom_site_fract_x
_atom_site_fract_y
_atom_site_fract_z
Tl1 0.3769 0.1250 0.2500
Tl2 0.3731 0.6250 0.2500
Tl3 0.3750 0.6231 0.7500
Tl4 0.8750 0.6269 0.7500
Fe1 0.5000 0.5000 0.0000
Fe2 0.2500 0.7500 0.5000
Ga1 0.0000 0.0000 0.0000
Ga2 0.7500 0.2500 0.5000
# - DFT formation energy (kJ/mol of formula units) = 128
# - symmetry = I-42d (122)



- The highest DFT formation energy belongs to which entry?
  number 5



- Look up the DFT formation energy of the third one.
  196 kJ/mol of formula units



- DFT formation energy of number 6 (Tl2GaFe)?
  128 kJ/mol of formula units



What did the second record say?
# TlGa2Fe PBE relaxed
data_TlGa2Fe
_chemical_formula_sum 'Tl2 Ga4 Fe2'
_space_group_name_H-M_alt 'P 1'
_space_group_IT_number 1
_cell_length_a 4.2660
_cell_length_b 4.2660
_cell_length_c 9.3721
_cell_angle_alpha 76.84
_cell_angle_beta 76.84
_cell_angle_gamma 90.00
loop_
_space_group_symop_operation_xyz
'x,y,z'
loop_
_atom_site_label
_atom_site_fract_x
_atom_site_fract_y
_atom_site_fract_z
Tl1 0.0000 0.0000 0.0000
Tl2 0.7500 0.2500 0.5000
Fe1 0.5000 0.5000 0.0000
Fe2 0.2500 0.7500 0.5000
Ga1 0.5403 0.1250 0.2500
Ga2 0.2097 0.6250 0.2500
Ga3 0.3750 0.4597 0.7500
Ga4 0.8750 0.7903 0.7500
# - DFT formation energy (kJ/mol of formula units) = 136
# - symmetry = I-42d (122)